No. 1
FeCuAs2 | GGA-PBE | optimized geometry

Cell: 3.0673 3.0673 6.1706 Å, 90.00 90.00 90.00°
Closest atoms and distances in Å follow each position.
Fractional coordinates of all 4 atoms:
Fe 0.0000 0.0000 0.0000  8 As 2.59
Cu 0.0000 0.0000 0.5000  8 As 2.74
As 0.5000 0.5000 0.2291  4 Fe 2.59, 4 Cu 2.74, 1 As 2.83
As 0.5000 0.5000 0.7709  4 Fe 2.59, 4 Cu 2.74, 1 As 2.83

Summary:
magnetization: 1.5 μB per formula unit
DFT formation energy: 0.14 eV per atom
N(E_F): 0.469 states/eV/atom


No. 2
HoAg2Pd3 | GGA-PBE | optimized geometry

Cell: 4.2378 12.7723 3.9147 Å, 90.00 90.00 90.00°
Closest atoms and distances in Å follow each position.
Fractional coordinates of all 12 atoms:
Ho 0.0000 0.0000 0.0000  8 Pd 2.88-2.90, 4 Ag 3.03
Ho 0.5000 0.5000 0.0000  8 Pd 2.88-2.90, 4 Ag 3.03
Ag 0.0000 0.3300 0.0000  8 Pd 2.85-2.92, 2 Ag 2.94, 2 Ho 3.03
Ag 0.0000 0.6700 0.0000  8 Pd 2.85-2.92, 2 Ag 2.94, 2 Ho 3.03
Ag 0.5000 0.1700 0.0000  8 Pd 2.85-2.92, 2 Ag 2.94, 2 Ho 3.03
Ag 0.5000 0.8300 0.0000  8 Pd 2.85-2.92, 2 Ag 2.94, 2 Ho 3.03
Pd 0.0000 0.1673 0.5000  6 Ag 2.85-2.88, 2 Ho 2.90, 4 Pd 2.99-3.01
Pd 0.0000 0.5000 0.5000  4 Ho 2.88, 4 Ag 2.92, 4 Pd 3.01
Pd 0.0000 0.8327 0.5000  6 Ag 2.85-2.88, 2 Ho 2.90, 4 Pd 2.99-3.01
Pd 0.5000 0.0000 0.5000  4 Ho 2.88, 4 Ag 2.92, 4 Pd 3.01
Pd 0.5000 0.3327 0.5000  6 Ag 2.85-2.88, 2 Ho 2.90, 4 Pd 2.99-3.01
Pd 0.5000 0.6673 0.5000  6 Ag 2.85-2.88, 2 Ho 2.90, 4 Pd 2.99-3.01

Summary:
magnetization: 0.0 μB per formula unit
DFT formation energy: -0.52 eV per atom
N(E_F): 0.362 states/eV/atom


No. 3
Sr3Al2Sn4Bi2 | GGA-PBE | optimized geometry

Cell: 14.8451 14.8451 14.8451 Å, 161.28 161.28 26.59°
Closest atoms and distances in Å follow each position.
Fractional coordinates of all 11 atoms:
Sr 0.0000 0.0000 0.0000  8 Al 3.64, 8 Sn 3.77
Sr 0.1933 0.1933 0.0000  5 Bi 3.42-3.44, 4 Sn 3.61
Sr 0.8067 0.8067 0.0000  5 Bi 3.42-3.44, 4 Sn 3.61
Al 0.4564 0.4564 0.0000  1 Al 2.52
Al 0.5436 0.5436 0.0000  1 Al 2.52
Sn 0.1003 0.6003 0.5000  2 Al 2.92
Sn 0.3997 0.8997 0.5000  2 Al 2.92
Sn 0.6003 0.1003 0.5000  2 Al 2.92
Sn 0.8997 0.3997 0.5000  2 Al 2.92
Bi 0.3123 0.3123 0.0000  5 Sr 3.42-3.44, 4 Sn 3.49
Bi 0.6877 0.6877 0.0000  5 Sr 3.42-3.44, 4 Sn 3.49

Summary:
magnetization: 0.0 μB per formula unit
DFT formation energy: -0.33 eV per atom
N(E_F): 0.655 states/eV/atom


No. 4
SrPmPaN3 | GGA-PBE | optimized geometry

Cell: 6.1666 3.6282 9.4669 Å, 90.00 101.35 90.00°
Closest atoms and distances in Å follow each position.
Fractional coordinates of all 12 atoms:
Sr 0.1619 0.2500 0.1939  7 N 2.75-2.95
Sr 0.8381 0.7500 0.8061  7 N 2.75-2.95
Pm 0.3492 0.2500 0.8626  4 N 2.35-2.60
Pm 0.6508 0.7500 0.1374  4 N 2.35-2.60
Pa 0.2636 0.7500 0.5422  6 N 2.25-2.50
Pa 0.7364 0.2500 0.4578  6 N 2.25-2.50
N 0.0448 0.2500 0.6298  3 Pa 2.25-2.50
N 0.2729 0.7500 0.0020  3 Pm 2.35-2.43
N 0.4761 0.7500 0.3739  3 Pa 2.25-2.45
N 0.5239 0.2500 0.6261  3 Pa 2.25-2.45
N 0.7271 0.2500 0.9980  3 Pm 2.35-2.43
N 0.9552 0.7500 0.3702  3 Pa 2.25-2.50

Summary:
magnetization: 0.9 μB per formula unit
formation energy from raw total energies: -1.260 eV/atom
N(E_F): 0.388 states/eV/atom


No. 5
Nd2PuPaN4 | GGA-PBE | optimized geometry

Cell: 6.1614 3.5678 6.2042 Å, 90.00 109.66 90.00°
Closest atoms and distances in Å follow each position.
Fractional coordinates of all 8 atoms:
Nd 0.0000 0.0000 0.0000  6 N 2.65-2.67
Nd 0.5000 0.5000 0.0000  6 N 2.58-2.61
Pu 0.0000 0.5000 0.5000  6 N 2.44-2.49
Pa 0.5000 0.0000 0.5000  6 N 2.39-2.40
N 0.2470 0.0000 0.7201  1 Pa 2.39, 2 Pu 2.44, 3 Nd 2.61-2.67
N 0.2709 0.5000 0.2801  2 Pa 2.40, 1 Pu 2.49, 3 Nd 2.58-2.65
N 0.7291 0.5000 0.7199  2 Pa 2.40, 1 Pu 2.49, 3 Nd 2.58-2.65
N 0.7530 0.0000 0.2799  1 Pa 2.39, 2 Pu 2.44, 3 Nd 2.61-2.67

Summary:
magnetization: 5.0 μB per formula unit
formation energy from raw total energies: -1.459 eV/atom
N(E_F): 1.032 states/eV/atom


No. 6
CsNiGe | GGA-PBE | optimized geometry

Cell: 5.5901 6.7335 11.5118 Å, 90.00 93.66 90.00°
Closest atoms and distances in Å follow each position.
Fractional coordinates of all 12 atoms:
Cs 0.2346 0.0000 0.2695  2 Ni 3.56, 3 Ge 3.58-3.95
Cs 0.2654 0.5000 0.7305  2 Ni 3.56, 3 Ge 3.58-3.95
Cs 0.7346 0.5000 0.2695  2 Ni 3.56, 3 Ge 3.58-3.95
Cs 0.7654 0.0000 0.7305  2 Ni 3.56, 3 Ge 3.58-3.95
Ni 0.0000 0.2030 0.0000  4 Ge 2.34-2.41
Ni 0.0000 0.7970 0.0000  4 Ge 2.34-2.41
Ni 0.5000 0.2970 0.0000  4 Ge 2.34-2.41
Ni 0.5000 0.7030 0.0000  4 Ge 2.34-2.41
Ge 0.2014 0.5000 0.0705  4 Ni 2.34-2.41
Ge 0.2986 0.0000 0.9295  4 Ni 2.34-2.41
Ge 0.7014 0.0000 0.0705  4 Ni 2.34-2.41
Ge 0.7986 0.5000 0.9295  4 Ni 2.34-2.41

Summary:
magnetization: 0.0 μB per formula unit
DFT formation energy: -0.18 eV per atom
N(E_F): 0.803 states/eV/atom


No. 7
SrZnCuAu3 | GGA-PBE | optimized geometry

Cell: 7.0196 7.0196 6.2696 Å, 90.00 90.00 120.93°
Closest atoms and distances in Å follow each position.
Fractional coordinates of all 12 atoms:
Sr 0.2108 0.7892 0.7500  1 Cu 3.03, 2 Zn 3.32, 4 Au 3.37
Sr 0.7892 0.2108 0.2500  1 Cu 3.03, 2 Zn 3.32, 4 Au 3.37
Zn 0.1220 0.8780 0.2500  5 Au 2.53-2.63
Zn 0.8780 0.1220 0.7500  5 Au 2.53-2.63
Cu 0.4586 0.5414 0.7500  5 Au 2.56-2.59
Cu 0.5414 0.4586 0.2500  5 Au 2.56-2.59
Au 0.2163 0.2163 0.0000  2 Cu 2.56, 2 Zn 2.63
Au 0.2163 0.2163 0.5000  2 Cu 2.56, 2 Zn 2.63
Au 0.3291 0.6709 0.2500  1 Zn 2.53, 1 Cu 2.59
Au 0.6709 0.3291 0.7500  1 Zn 2.53, 1 Cu 2.59
Au 0.7837 0.7837 0.0000  2 Cu 2.56, 2 Zn 2.63
Au 0.7837 0.7837 0.5000  2 Cu 2.56, 2 Zn 2.63

Summary:
magnetization: 0.0 μB per formula unit
DFT formation energy: -0.28 eV per atom
N(E_F): 0.327 states/eV/atom


No. 8
Ir2Pt2Au | GGA-PBE | optimized geometry

Cell: 3.7452 3.7452 12.3868 Å, 90.00 90.00 90.00°
Closest atoms and distances in Å follow each position.
Fractional coordinates of all 10 atoms:
Ir 0.0000 0.0000 0.0980  1 Ir 2.43, 4 Pt 2.66
Ir 0.0000 0.0000 0.9020  1 Ir 2.43, 4 Pt 2.66
Ir 0.5000 0.5000 0.4020  1 Ir 2.43, 4 Pt 2.66
Ir 0.5000 0.5000 0.5980  1 Ir 2.43, 4 Pt 2.66
Pt 0.0000 0.5000 0.2500  4 Pt 2.65, 4 Ir 2.66
Pt 0.0000 0.5000 0.7500  4 Pt 2.65, 4 Ir 2.66
Pt 0.5000 0.0000 0.2500  4 Pt 2.65, 4 Ir 2.66
Pt 0.5000 0.0000 0.7500  4 Pt 2.65, 4 Ir 2.66
Au 0.0000 0.0000 0.5000  8 Ir 2.91
Au 0.5000 0.5000 0.0000  8 Ir 2.91

Summary:
magnetization: 0.0 μB per formula unit
DFT formation energy: 0.47 eV per atom
N(E_F): 1.469 states/eV/atom


N(E_F) of number 3 (Sr3Al2Sn4Bi2)? 0.655 states/eV/atom


Which value of N(E_F) does entry 2 give? 0.362 states/eV/atom


Copy entry 2 word for word.
HoAg2Pd3 | GGA-PBE | optimized geometry

Cell: 4.2378 12.7723 3.9147 Å, 90.00 90.00 90.00°
Closest atoms and distances in Å follow each position.
Fractional coordinates of all 12 atoms:
Ho 0.0000 0.0000 0.0000  8 Pd 2.88-2.90, 4 Ag 3.03
Ho 0.5000 0.5000 0.0000  8 Pd 2.88-2.90, 4 Ag 3.03
Ag 0.0000 0.3300 0.0000  8 Pd 2.85-2.92, 2 Ag 2.94, 2 Ho 3.03
Ag 0.0000 0.6700 0.0000  8 Pd 2.85-2.92, 2 Ag 2.94, 2 Ho 3.03
Ag 0.5000 0.1700 0.0000  8 Pd 2.85-2.92, 2 Ag 2.94, 2 Ho 3.03
Ag 0.5000 0.8300 0.0000  8 Pd 2.85-2.92, 2 Ag 2.94, 2 Ho 3.03
Pd 0.0000 0.1673 0.5000  6 Ag 2.85-2.88, 2 Ho 2.90, 4 Pd 2.99-3.01
Pd 0.0000 0.5000 0.5000  4 Ho 2.88, 4 Ag 2.92, 4 Pd 3.01
Pd 0.0000 0.8327 0.5000  6 Ag 2.85-2.88, 2 Ho 2.90, 4 Pd 2.99-3.01
Pd 0.5000 0.0000 0.5000  4 Ho 2.88, 4 Ag 2.92, 4 Pd 3.01
Pd 0.5000 0.3327 0.5000  6 Ag 2.85-2.88, 2 Ho 2.90, 4 Pd 2.99-3.01
Pd 0.5000 0.6673 0.5000  6 Ag 2.85-2.88, 2 Ho 2.90, 4 Pd 2.99-3.01

Summary:
magnetization: 0.0 μB per formula unit
DFT formation energy: -0.52 eV per atom
N(E_F): 0.362 states/eV/atom


Which value of N(E_F) does entry 6 give? 0.803 states/eV/atom